(1)
ScTeOs2 | PBE | relaxed

```
4
Lattice="1.5453 0.8922 8.6455 -1.5453 0.8922 8.6455 0.0000 -1.7844 8.6455" Properties=species:S:1:pos:R:3 pbc="T T T"
Sc 0.0000 0.0000 0.0000
Te 0.0000 0.0000 12.9682
Os 0.0000 0.0000 6.4818
Os 0.0000 0.0000 19.4547
```

Summary:
The crystal system is trigonal. Its space-group type is R-3m (166). Its total energy is -0.55465 Ry/atom.

(2)
Pm3Zn2Pt | PBE | relaxed

```
6
Lattice="3.6631 0.0000 0.0000 0.0000 3.6631 0.0000 0.0000 0.0000 10.7437" Properties=species:S:1:pos:R:3 pbc="T T T"
Pm 0.0000 0.0000 0.0000
Pm 0.0000 0.0000 3.6626
Pm 0.0000 0.0000 7.0811
Zn 1.8316 1.8316 1.7665
Zn 1.8316 1.8316 8.9772
Pt 1.8316 1.8316 5.3718
```

Summary:
The crystal system is tetragonal. The calculation puts the energy of formation at -0.59 eV per atom. The value obtained for the energy above the most stable polymorph in this dataset is 0.0 meV per atom. Its space-group type is P4/mmm (123). Its total energy is -0.32290 Ry/atom.

(3)
Hf4BeNi | PBE | relaxed

```
6
Lattice="-3.2626 3.2626 2.4990 3.2626 -3.2626 2.4990 3.2626 3.2626 -2.4990" Properties=species:S:1:pos:R:3 pbc="T T T"
Hf 2.2156 -1.0469 1.2495
Hf 4.3095 1.0469 1.2495
Hf 1.0469 2.2156 1.2495
Hf -1.0469 4.3095 1.2495
Be 0.0000 0.0000 2.4990
Ni 0.0000 0.0000 0.0000
```

Summary:
The crystal system is tetragonal. The calculation puts the energy of formation at -0.18 eV per atom. The value obtained for the energy above the most stable polymorph in this dataset is 0.0 meV per atom. Its space-group type is I422 (97). Its total energy is -0.61732 Ry/atom.

(4)
Al2InCl | PBE | relaxed

```
4
Lattice="1.6467 0.9507 9.9847 -1.6467 0.9507 9.9847 0.0000 -1.9015 9.9847" Properties=species:S:1:pos:R:3 pbc="T T T"
Al 0.0000 0.0000 0.0000
Al 0.0000 0.0000 7.9878
In 0.0000 0.0000 15.5597
Cl 0.0000 0.0000 21.6177
```

Summary:
The crystal system is trigonal. The value obtained for the energy above the most stable polymorph in this dataset is 0.0 meV per atom. Its space-group type is R3m (160). Its total energy is -0.23740 Ry/atom.

(5)
ScTlHg2 | PBE | relaxed

```
4
Lattice="3.5395 0.0000 0.0000 0.0000 5.1765 0.0000 -0.2100 0.0000 5.3975" Properties=species:S:1:pos:R:3 pbc="T T T"
Sc 0.0000 0.0000 0.0000
Tl 1.6647 0.0000 2.6987
Hg 0.6910 2.5882 4.1181
Hg 2.6385 2.5882 1.2794
```

Summary:
The crystal system is monoclinic. The calculation puts the energy of formation at -0.10 eV per atom. Its space-group type is P2/m (10). Its total energy is -0.17803 Ry/atom.

(6)
HfBN | PBE | relaxed

```
6
Lattice="3.5117 0.0000 0.0000 -0.7626 3.5609 0.0000 -0.6980 -1.5981 5.7271" Properties=species:S:1:pos:R:3 pbc="T T T"
Hf 0.0000 0.0000 0.0000
Hf 1.0507 -0.3240 2.9478
B -0.7065 1.2023 3.5573
B 2.3951 1.4862 1.9408
N 1.6655 0.5686 1.0178
N 2.5246 0.1740 4.5645
```

Summary:
The crystal system is triclinic. The value obtained for the energy above the most stable polymorph in this dataset is 273.8 meV per atom. Its space-group type is P1 (1). Its total energy is -0.66977 Ry/atom.

(7)
Li2NbReN4 | PBE | relaxed

```
16
Lattice="4.2752 0.0000 0.0000 0.0000 7.0164 0.0000 0.0000 0.0000 6.1122" Properties=species:S:1:pos:R:3 pbc="T T T"
Li 1.0688 0.0099 0.9272
Li 1.0688 3.4983 0.9272
Li 3.2064 3.5181 5.1850
Li 3.2064 7.0065 5.1850
Nb 1.0688 1.7541 4.0247
Nb 3.2064 5.2623 2.0875
Re 1.0688 5.2623 4.0510
Re 3.2064 1.7541 2.0611
N 1.0688 1.7541 2.0674
N 1.0688 3.5926 4.9119
N 1.0688 5.2623 2.0736
N 1.0688 6.9320 4.9119
N 3.2064 0.0844 1.2003
N 3.2064 1.7541 4.0385
N 3.2064 3.4238 1.2003
N 3.2064 5.2623 4.0448
```

Summary:
The crystal system is orthorhombic. Its space-group type is Pmmn (59). Its total energy is -0.58934 Ry/atom.

(8)
Li3SbP | PBE | relaxed

```
5
Lattice="4.6362 0.0000 0.0000 0.0000 4.6362 0.0000 0.0000 0.0000 4.6362" Properties=species:S:1:pos:R:3 pbc="T T T"
Li 0.0000 0.0000 2.3181
Li 0.0000 2.3181 0.0000
Li 2.3181 0.0000 0.0000
Sb 2.3181 2.3181 2.3181
P 0.0000 0.0000 0.0000
```

Summary:
The crystal system is cubic. The value obtained for the energy above the most stable polymorph in this dataset is 259.1 meV per atom. Its space-group type is Pm-3m (221). Its total energy is -0.23901 Ry/atom.